# 1
Zn4Ni3Pt | GGA-PBE | optimized geometry

Summary:
* calculated formation energy: -322.5 meV/atom
* calculated volume: 12.8 A^3/atom
* uncorrected energy: -3.88 eV per atom
* M_tot: 0.00 μB per formula unit

```
data_Zn4Ni3Pt
_cell_length_a 3.4137
_cell_length_b 3.8857
_cell_length_c 7.7306
_cell_angle_alpha 90.00
_cell_angle_beta 90.00
_cell_angle_gamma 90.00
_space_group_name_H-M_alt 'P m m m'
_space_group_IT_number 47
loop_
_space_group_symop_operation_xyz
'x,y,z'
'-x,-y,-z'
'-x,-y,z'
'x,y,-z'
'x,-y,-z'
'-x,y,z'
'-x,y,-z'
'x,-y,z'
loop_
_atom_site_label
_atom_site_type_symbol
_atom_site_fract_x
_atom_site_fract_y
_atom_site_fract_z
_atom_site_occupancy
Zn1 Zn 0.0000 0.0000 0.0000 1
Zn2 Zn 0.0000 0.0000 0.5000 1
Zn3 Zn 0.0000 0.5000 0.2388 1
Ni1 Ni 0.5000 0.0000 0.2428 1
Ni2 Ni 0.5000 0.5000 0.0000 1
Pt1 Pt 0.5000 0.5000 0.5000 1
```


# 2
InP2PbCl | GGA-PBE | optimized geometry

Summary:
* ΔE_f (raw): 0.56 eV per atom
* E above lowest polymorph: 0.013 eV per atom
* calculated volume: 31.7 A^3/atom
* uncorrected energy: -3.26 eV per atom
* M_tot: 1.89 μB per formula unit

```
data_InP2PbCl
_cell_length_a 5.3116
_cell_length_b 5.3116
_cell_length_c 5.6115
_cell_angle_alpha 90.00
_cell_angle_beta 90.00
_cell_angle_gamma 90.00
_space_group_name_H-M_alt 'P 4/m m m'
_space_group_IT_number 123
_space_group_name_Hall '-P 4 2'
loop_
_atom_site_label
_atom_site_type_symbol
_atom_site_fract_x
_atom_site_fract_y
_atom_site_fract_z
_atom_site_occupancy
In1 In 0.0000 0.0000 0.0000 1
P1 P 0.0000 0.5000 0.5000 1
Pb1 Pb 0.5000 0.5000 0.5000 1
Cl1 Cl 0.5000 0.5000 0.0000 1
```


# 3
Nd3TeAuCl | GGA-PBE | optimized geometry

Summary:
* ΔE_f (raw): -1.12 eV per atom
* calculated volume: 29.1 A^3/atom
* uncorrected energy: -4.88 eV per atom
* M_tot: 0.00 μB per formula unit

```
data_Nd3TeAuCl
_cell_length_a 8.1170
_cell_length_b 4.2321
_cell_length_c 10.7614
_cell_angle_alpha 90.00
_cell_angle_beta 109.22
_cell_angle_gamma 90.00
_space_group_name_H-M_alt 'P 1 21/m 1'
_space_group_IT_number 11
loop_
_space_group_symop_operation_xyz
'x,y,z'
'-x,-y,-z'
'-x,y+1/2,-z'
'x,-y+1/2,z'
loop_
_atom_site_label
_atom_site_type_symbol
_atom_site_fract_x
_atom_site_fract_y
_atom_site_fract_z
_atom_site_occupancy
Nd1 Nd 0.0234 0.2500 0.2790 1
Nd2 Nd 0.2295 0.2500 0.0179 1
Nd3 Nd 0.3760 0.7500 0.5919 1
Te1 Te 0.3223 0.7500 0.2668 1
Au1 Au 0.1052 0.2500 0.5777 1
Cl1 Cl 0.3611 0.7500 0.8818 1
```


# 4
TlW2Au | GGA-PBE | optimized geometry

Summary:
* calculated formation energy: 584.9 meV/atom
* E above lowest polymorph: 0.076 eV per atom
* calculated volume: 19.5 A^3/atom
* uncorrected energy: -7.30 eV per atom
* M_tot: 0.00 μB per formula unit

```
data_TlW2Au
_cell_length_a 3.2307
_cell_length_b 3.2307
_cell_length_c 7.4546
_cell_angle_alpha 90.00
_cell_angle_beta 90.00
_cell_angle_gamma 90.00
_space_group_name_H-M_alt 'P 4 m m'
_space_group_IT_number 99
loop_
_space_group_symop_operation_xyz
'x,y,z'
'-y,x,z'
'-x,-y,z'
'y,-x,z'
'-x,y,z'
'y,x,z'
'x,-y,z'
'-y,-x,z'
loop_
_atom_site_label
_atom_site_type_symbol
_atom_site_fract_x
_atom_site_fract_y
_atom_site_fract_z
_atom_site_occupancy
Tl1 Tl 0.0000 0.0000 0.0000 1
W1 W 0.0000 0.0000 0.4689 1
W2 W 0.5000 0.5000 0.2961 1
Au1 Au 0.5000 0.5000 0.7141 1
```


uncorrected energy of number 2 (InP2PbCl)?
-3.26 eV per atom